(1)
Entry from Alexandria: Sn5HgTe4 after structural relaxation (PBE).

Lattice parameters (Å, degrees): 16.1088 16.1088 16.1088 164.02 164.02 22.68
Fractional coordinates of all 10 atoms:
Sn1 0.0000 0.0000 0.0000
Sn2 0.2006 0.2006 0.0000
Sn3 0.4027 0.4027 0.0000
Sn4 0.5973 0.5973 0.0000
Sn5 0.7994 0.7994 0.0000
Hg1 0.5000 0.5000 0.0000
Te1 0.1010 0.1010 0.0000
Te2 0.3027 0.3027 0.0000
Te3 0.6973 0.6973 0.0000
Te4 0.8990 0.8990 0.0000

mass density: 6.8 Mg/m³
total moment: 0.000 μB per atom
ΔE_f (raw): -1.75 eV per formula unit

***

(2)
Entry from Alexandria: SnHgTe2 after structural relaxation (PBE).

Lattice parameters (Å, degrees): 4.6117 4.6117 8.9905 90.00 90.00 120.00
Fractional coordinates of all 4 atoms:
Sn1 0.0000 0.0000 0.0000
Hg1 0.3333 0.6667 0.4976
Te1 0.0000 0.0000 0.3936
Te2 0.3333 0.6667 0.8337

mass density: 5.8 Mg/m³
total moment: 0.000 μB per atom
ΔE_f (raw): -0.39 eV per formula unit

***

(3)
Entry from Alexandria: SnHgTe2 after structural relaxation (PBE).

Lattice parameters (Å, degrees): 7.5920 7.5920 7.5920 34.05 34.05 34.05
Fractional coordinates of all 4 atoms:
Sn1 0.0000 0.0000 0.0000
Hg1 0.5000 0.5000 0.5000
Te1 0.2495 0.2495 0.2495
Te2 0.7505 0.7505 0.7505

mass density: 7.8 Mg/m³
total moment: 0.000 μB per atom
ΔE_f (raw): -0.63 eV per formula unit

***

(4)
Entry from Alexandria: SnHg3Te4 after structural relaxation (PBE).

Lattice parameters (Å, degrees): 9.4373 8.1732 8.1049 90.00 90.00 90.00
Fractional coordinates of all 16 atoms:
Sn1 0.0000 0.1670 0.0000
Sn2 0.5000 0.8330 0.5000
Hg1 0.0000 0.8222 0.5099
Hg2 0.2470 0.6637 0.0122
Hg3 0.2530 0.3363 0.5122
Hg4 0.5000 0.1778 0.0099
Hg5 0.7470 0.3363 0.5122
Hg6 0.7530 0.6637 0.0122
Te1 0.0000 0.1621 0.6011
Te2 0.0000 0.8218 0.1498
Te3 0.2427 0.6607 0.6518
Te4 0.2573 0.3393 0.1518
Te5 0.5000 0.1782 0.6498
Te6 0.5000 0.8379 0.1011
Te7 0.7427 0.3393 0.1518
Te8 0.7573 0.6607 0.6518

mass density: 6.5 Mg/m³
total moment: 0.000 μB per atom
ΔE_f (raw): -0.85 eV per formula unit

***

(5)
Entry from Alexandria: SnHgTe2 after structural relaxation (PBE).

Lattice parameters (Å, degrees): 8.4146 8.4146 8.4146 130.79 130.79 72.15
Fractional coordinates of all 8 atoms:
Sn1 0.0000 0.0000 0.0000
Sn2 0.7500 0.2500 0.5000
Hg1 0.2500 0.7500 0.5000
Hg2 0.5000 0.5000 0.0000
Te1 0.1514 0.6250 0.0264
Te2 0.3750 0.4014 0.5264
Te3 0.5986 0.1250 0.9736
Te4 0.8750 0.8486 0.4736

mass density: 5.7 Mg/m³
total moment: 0.000 μB per atom
ΔE_f (raw): -0.29 eV per formula unit

***

(6)
Entry from Alexandria: SnHg3Te after structural relaxation (PBE).

Lattice parameters (Å, degrees): 5.5703 5.5703 5.5703 90.00 90.00 90.00
Fractional coordinates of all 5 atoms:
Sn1 0.0000 0.0000 0.0000
Hg1 0.0000 0.0000 0.5000
Hg2 0.0000 0.5000 0.0000
Hg3 0.5000 0.0000 0.0000
Te1 0.5000 0.5000 0.5000

mass density: 8.1 Mg/m³
total moment: 0.094 μB per atom
ΔE_f (raw): 1.33 eV per formula unit

***

(7)
Entry from Alexandria: Sn2Hg4Te5 after structural relaxation (PBE).

Lattice parameters (Å, degrees): 20.7024 20.7024 20.7024 12.73 12.73 12.73
Fractional coordinates of all 11 atoms:
Sn1 0.1375 0.1375 0.1375
Sn2 0.8625 0.8625 0.8625
Hg1 0.3161 0.3161 0.3161
Hg2 0.4170 0.4170 0.4170
Hg3 0.5830 0.5830 0.5830
Hg4 0.6839 0.6839 0.6839
Te1 0.2249 0.2249 0.2249
Te2 0.3705 0.3705 0.3705
Te3 0.5000 0.5000 0.5000
Te4 0.6295 0.6295 0.6295
Te5 0.7751 0.7751 0.7751

mass density: 7.4 Mg/m³
total moment: 0.000 μB per atom
ΔE_f (raw): -1.09 eV per formula unit

***

(8)
Entry from Alexandria: Sn5Hg12Te3 after structural relaxation (PBE).

Lattice parameters (Å, degrees): 15.0692 15.0692 15.0692 109.47 109.47 109.47
Fractional coordinates of all 80 atoms:
Sn1 0.0000 0.0000 0.0000
Sn2 0.0000 0.0000 0.5000
Sn3 0.0000 0.5000 0.0000
Sn4 0.0000 0.5000 0.5000
Sn5 0.1250 0.7500 0.8750
Sn6 0.1250 0.8750 0.2500
Sn7 0.2500 0.1250 0.8750
Sn8 0.2500 0.6250 0.3750
Sn9 0.3750 0.2500 0.6250
Sn10 0.3750 0.6250 0.7500
Sn11 0.5000 0.0000 0.0000
Sn12 0.5000 0.0000 0.5000
Sn13 0.5000 0.5000 0.0000
Sn14 0.5000 0.5000 0.5000
Sn15 0.6250 0.3750 0.2500
Sn16 0.6250 0.7500 0.3750
Sn17 0.7500 0.3750 0.6250
Sn18 0.7500 0.8750 0.1250
Sn19 0.8750 0.1250 0.7500
Sn20 0.8750 0.2500 0.1250
Hg1 0.0485 0.2241 0.1153
Hg2 0.0485 0.3245 0.9332
Hg3 0.0668 0.6153 0.3912
Hg4 0.0668 0.9515 0.6755
Hg5 0.1088 0.7241 0.6755
Hg6 0.1088 0.8847 0.4332
Hg7 0.1153 0.0485 0.2241
Hg8 0.1153 0.5668 0.8912
Hg9 0.1755 0.2241 0.6088
Hg10 0.1755 0.4515 0.5668
Hg11 0.2241 0.1153 0.0485
Hg12 0.2241 0.6088 0.1755
Hg13 0.2759 0.3245 0.8912
Hg14 0.2759 0.4515 0.3847
Hg15 0.3245 0.8912 0.2759
Hg16 0.3245 0.9332 0.0485
Hg17 0.3847 0.2759 0.4515
Hg18 0.3847 0.6088 0.9332
Hg19 0.3912 0.0668 0.6153
Hg20 0.3912 0.8245 0.7759
Hg21 0.4332 0.1088 0.8847
Hg22 0.4332 0.8245 0.5485
Hg23 0.4515 0.3847 0.2759
Hg24 0.4515 0.5668 0.1755
Hg25 0.5485 0.4332 0.8245
Hg26 0.5485 0.6153 0.7241
Hg27 0.5668 0.1755 0.4515
Hg28 0.5668 0.8912 0.1153
Hg29 0.6088 0.1755 0.2241
Hg30 0.6088 0.9332 0.3847
Hg31 0.6153 0.3912 0.0668
Hg32 0.6153 0.7241 0.5485
Hg33 0.6755 0.0668 0.9515
Hg34 0.6755 0.1088 0.7241
Hg35 0.7241 0.5485 0.6153
Hg36 0.7241 0.6755 0.1088
Hg37 0.7759 0.3912 0.8245
Hg38 0.7759 0.8847 0.9515
Hg39 0.8245 0.5485 0.4332
Hg40 0.8245 0.7759 0.3912
Hg41 0.8847 0.4332 0.1088
Hg42 0.8847 0.9515 0.7759
Hg43 0.8912 0.1153 0.5668
Hg44 0.8912 0.2759 0.3245
Hg45 0.9332 0.0485 0.3245
Hg46 0.9332 0.3847 0.6088
Hg47 0.9515 0.6755 0.0668
Hg48 0.9515 0.7759 0.8847
Te1 0.1250 0.2500 0.3750
Te2 0.1250 0.3750 0.7500
Te3 0.2500 0.3750 0.1250
Te4 0.2500 0.8750 0.6250
Te5 0.3750 0.1250 0.2500
Te6 0.3750 0.7500 0.1250
Te7 0.6250 0.2500 0.8750
Te8 0.6250 0.8750 0.7500
Te9 0.7500 0.1250 0.3750
Te10 0.7500 0.6250 0.8750
Te11 0.8750 0.6250 0.2500
Te12 0.8750 0.7500 0.6250

mass density: 8.5 Mg/m³
total moment: 0.000 μB per atom
ΔE_f (raw): 1.80 eV per formula unit

***

(9)
Entry from Alexandria: SnHg2Te2 after structural relaxation (PBE).

Lattice parameters (Å, degrees): 6.1223 6.1223 6.1223 123.07 123.07 84.76
Fractional coordinates of all 5 atoms:
Sn1 0.0000 0.0000 0.0000
Hg1 0.3474 0.3474 0.0000
Hg2 0.6526 0.6526 0.0000
Te1 0.2500 0.7500 0.5000
Te2 0.7500 0.2500 0.5000

mass density: 8.4 Mg/m³
total moment: 0.000 μB per atom
ΔE_f (raw): 0.60 eV per formula unit

***

(10)
Entry from Alexandria: Sn3HgTe4 after structural relaxation (PBE).

Lattice parameters (Å, degrees): 7.7394 7.7394 4.5122 90.00 90.00 110.22
Fractional coordinates of all 8 atoms:
Sn1 0.0000 0.0000 0.0000
Sn2 0.0000 0.5000 0.5000
Sn3 0.5000 0.0000 0.5000
Hg1 0.5000 0.5000 0.0000
Te1 0.2495 0.7505 0.0000
Te2 0.2515 0.2515 0.5000
Te3 0.7485 0.7485 0.5000
Te4 0.7505 0.2495 0.0000

mass density: 7.0 Mg/m³
total moment: 0.000 μB per atom
ΔE_f (raw): -1.72 eV per formula unit

***

(11)
Entry from Alexandria: Sn2HgTe4 after structural relaxation (PBE).

Lattice parameters (Å, degrees): 7.3375 7.3375 14.6557 90.00 90.00 145.68
Fractional coordinates of all 14 atoms:
Sn1 0.1405 0.8595 0.5612
Sn2 0.1405 0.8595 0.9388
Sn3 0.8595 0.1405 0.0612
Sn4 0.8595 0.1405 0.4388
Hg1 0.4091 0.5909 0.7500
Hg2 0.5909 0.4091 0.2500
Te1 0.0473 0.9527 0.7500
Te2 0.2263 0.7737 0.1315
Te3 0.2263 0.7737 0.3685
Te4 0.5000 0.5000 0.0000
Te5 0.5000 0.5000 0.5000
Te6 0.7737 0.2263 0.6315
Te7 0.7737 0.2263 0.8685
Te8 0.9527 0.0473 0.2500

mass density: 7.1 Mg/m³
total moment: 0.000 μB per atom
ΔE_f (raw): -0.61 eV per formula unit

***

(12)
Entry from Alexandria: Sn5HgTe4 after structural relaxation (PBE).

Lattice parameters (Å, degrees): 11.3156 11.7356 5.9248 90.00 90.00 90.00
Fractional coordinates of all 20 atoms:
Sn1 0.0168 0.0192 0.2491
Sn2 0.0168 0.4808 0.2491
Sn3 0.2500 0.7500 0.9282
Sn4 0.4832 0.0192 0.2491
Sn5 0.4832 0.4808 0.2491
Sn6 0.5168 0.5192 0.7509
Sn7 0.5168 0.9808 0.7509
Sn8 0.7500 0.2500 0.0718
Sn9 0.9832 0.5192 0.7509
Sn10 0.9832 0.9808 0.7509
Hg1 0.2500 0.2500 0.6017
Hg2 0.7500 0.7500 0.3983
Te1 0.0408 0.2500 0.0784
Te2 0.2500 0.5825 0.3157
Te3 0.2500 0.9175 0.3157
Te4 0.4592 0.2500 0.0784
Te5 0.5408 0.7500 0.9216
Te6 0.7500 0.0825 0.6843
Te7 0.7500 0.4175 0.6843
Te8 0.9592 0.7500 0.9216

mass density: 5.5 Mg/m³
total moment: 0.000 μB per atom
ΔE_f (raw): -0.39 eV per formula unit

***

(13)
Entry from Alexandria: SnHgTe after structural relaxation (PBE).

Lattice parameters (Å, degrees): 5.2596 5.2596 5.2596 60.00 60.00 60.00
Fractional coordinates of all 3 atoms:
Sn1 0.0000 0.0000 0.0000
Hg1 0.2500 0.2500 0.2500
Te1 0.7500 0.7500 0.7500

mass density: 7.2 Mg/m³
total moment: 0.000 μB per atom
ΔE_f (raw): -0.14 eV per formula unit

***

(14)
Entry from Alexandria: SnHgTe2 after structural relaxation (PBE).

Lattice parameters (Å, degrees): 6.1494 4.5854 18.9172 90.00 90.00 90.00
Fractional coordinates of all 16 atoms:
Sn1 0.2485 0.2500 0.1670
Sn2 0.2515 0.7500 0.6670
Sn3 0.7485 0.2500 0.3330
Sn4 0.7515 0.7500 0.8330
Hg1 0.2488 0.7500 0.4381
Hg2 0.2512 0.2500 0.9381
Hg3 0.7488 0.7500 0.0619
Hg4 0.7512 0.2500 0.5619
Te1 0.2485 0.2500 0.3296
Te2 0.2490 0.7500 0.0603
Te3 0.2510 0.2500 0.5603
Te4 0.2515 0.7500 0.8296
Te5 0.7485 0.2500 0.1704
Te6 0.7490 0.7500 0.4397
Te7 0.7510 0.2500 0.9397
Te8 0.7515 0.7500 0.6704

mass density: 7.2 Mg/m³
total moment: 0.000 μB per atom
ΔE_f (raw): -0.40 eV per formula unit

***

(15)
Entry from Alexandria: Sn5Hg2Te5 after structural relaxation (PBE).

Lattice parameters (Å, degrees): 8.4499 8.4499 8.4499 102.45 102.45 124.68
Fractional coordinates of all 12 atoms:
Sn1 0.0000 0.0000 0.0000
Sn2 0.3381 0.6033 0.7348
Sn3 0.6033 0.3381 0.7348
Sn4 0.6033 0.8685 0.2652
Sn5 0.8685 0.6033 0.2652
Hg1 0.3427 0.8427 0.5000
Hg2 0.8427 0.3427 0.5000
Te1 0.0542 0.0542 0.3987
Te2 0.0542 0.6555 0.0000
Te3 0.4334 0.4334 0.0000
Te4 0.6555 0.0542 0.0000
Te5 0.6555 0.6555 0.6013

mass density: 6.2 Mg/m³
total moment: 0.000 μB per atom
ΔE_f (raw): -1.58 eV per formula unit

***

(16)
Entry from Alexandria: Sn3HgTe4 after structural relaxation (PBE).

Lattice parameters (Å, degrees): 12.8093 6.2917 6.3077 90.00 90.00 90.00
Fractional coordinates of all 16 atoms:
Sn1 0.0000 0.2497 0.0000
Sn2 0.2501 0.2495 0.4964
Sn3 0.2499 0.7505 0.9964
Sn4 0.5000 0.7503 0.5000
Sn5 0.7499 0.2495 0.4964
Sn6 0.7501 0.7505 0.9964
Hg1 0.0000 0.7467 0.5205
Hg2 0.5000 0.2533 0.0205
Te1 0.0000 0.2479 0.4913
Te2 0.0000 0.7500 0.0082
Te3 0.2496 0.2502 0.9869
Te4 0.2504 0.7498 0.4869
Te5 0.5000 0.2500 0.5082
Te6 0.5000 0.7521 0.9913
Te7 0.7504 0.2502 0.9869
Te8 0.7496 0.7498 0.4869

mass density: 7.0 Mg/m³
total moment: 0.000 μB per atom
ΔE_f (raw): -1.68 eV per formula unit

***

(17)
Entry from Alexandria: SnHg2Te4 after structural relaxation (PBE).

Lattice parameters (Å, degrees): 7.2063 7.2063 5.0274 90.00 90.00 90.00
Fractional coordinates of all 7 atoms:
Sn1 0.0000 0.0000 0.0000
Hg1 0.0000 0.5000 0.0000
Hg2 0.5000 0.0000 0.0000
Te1 0.2309 0.2309 0.3004
Te2 0.2309 0.7691 0.6996
Te3 0.7691 0.2309 0.6996
Te4 0.7691 0.7691 0.3004

mass density: 6.6 Mg/m³
total moment: 0.000 μB per atom
ΔE_f (raw): -0.44 eV per formula unit

***

(18)
Entry from Alexandria: SnHgTe2 after structural relaxation (PBE).

Lattice parameters (Å, degrees): 12.8501 12.8501 12.8501 14.79 14.79 14.79
Fractional coordinates of all 4 atoms:
Sn1 0.0000 0.0000 0.0000
Hg1 0.5000 0.5000 0.5000
Te1 0.2558 0.2558 0.2558
Te2 0.7442 0.7442 0.7442

mass density: 7.9 Mg/m³
total moment: 0.000 μB per atom
ΔE_f (raw): 0.64 eV per formula unit

***

(19)
Entry from Alexandria: SnHgTe3 after structural relaxation (PBE).

Lattice parameters (Å, degrees): 5.7482 5.7482 5.7482 90.00 90.00 90.00
Fractional coordinates of all 5 atoms:
Sn1 0.0000 0.0000 0.0000
Hg1 0.5000 0.5000 0.5000
Te1 0.0000 0.0000 0.5000
Te2 0.0000 0.5000 0.0000
Te3 0.5000 0.0000 0.0000

mass density: 6.1 Mg/m³
total moment: 0.000 μB per atom
ΔE_f (raw): 1.90 eV per formula unit

***

(20)
Entry from Alexandria: SnHg2Te2 after structural relaxation (PBE).

Lattice parameters (Å, degrees): 8.9787 8.9787 8.9787 152.36 152.36 39.49
Fractional coordinates of all 5 atoms:
Sn1 0.0000 0.0000 0.0000
Hg1 0.2500 0.7500 0.5000
Hg2 0.7500 0.2500 0.5000
Te1 0.4130 0.4130 0.0000
Te2 0.5870 0.5870 0.0000

mass density: 8.3 Mg/m³
total moment: 0.000 μB per atom
ΔE_f (raw): 0.06 eV per formula unit